(1)
First-principles (PBE) data for crystalline CeNbTcGe2 at its relaxed geometry, as listed in Alexandria via LeMat-Bulk.

```
5
Lattice="4.0589 0.0000 0.0000 0.0000 4.0589 0.0000 -2.0294 -2.0294 5.8684" Properties=species:S:1:pos:R:3 pbc="T T T"
Ge 2.0294 2.0294 1.2800
Ce 0.0000 0.0000 0.0000
Tc 2.0294 0.0000 2.9342
Ge 0.0000 0.0000 4.5884
Nb 0.0000 2.0294 2.9342
```

Properties
Volume (Å³ per atom): 19.34
Electronic total energy (eV per formula unit): -38.1
Magnetic moment (μB per formula unit): 0.6


(2)
First-principles (PBE) data for crystalline CeNdGe at its relaxed geometry, as listed in Alexandria via LeMat-Bulk.

```
6
Lattice="-0.9221 -0.4100 -4.3466 -2.9775 -3.2912 -0.4623 -8.0795 4.0221 -1.2920" Properties=species:S:1:pos:R:3 pbc="T T T"
Ce -8.5943 2.5532 -2.6539
Ce -3.3848 -2.2324 -3.4470
Nd -7.6933 -0.1564 -4.1870
Ge -6.1560 2.9921 -1.0381
Ge -5.8231 -2.6712 -5.0628
Nd -4.2858 0.4772 -1.9139
```

Properties
Volume (Å³ per atom): 27.01
Electronic total energy (eV per formula unit): -16.7
Magnetic moment (μB per formula unit): 1.0


(3)
First-principles (PBE) data for crystalline CeNd2Ge2 at its relaxed geometry, as listed in Alexandria via LeMat-Bulk.

```
10
Lattice="-0.6000 -4.4041 0.3676 5.1528 -3.1883 -2.7320 5.3923 -2.3219 8.0391" Properties=species:S:1:pos:R:3 pbc="T T T"
Ge 4.8293 -3.0377 -1.4552
Ce 8.1156 -5.3992 2.6719
Ge 3.9943 -2.5872 2.5796
Nd 1.7189 -2.4807 0.1408
Nd 8.2262 -7.4337 5.5340
Ge 5.9508 -7.3272 3.0952
Nd 4.8118 -5.0953 0.9208
Ge 5.1158 -6.8767 7.1300
Nd 5.1333 -4.8191 4.7540
Ce 1.8295 -4.5152 3.0029
```

Properties
Volume (Å³ per atom): 26.84
Electronic total energy (eV per formula unit): -27.7
Magnetic moment (μB per formula unit): 0.8


(4)
First-principles (PBE) data for crystalline CeNd3Ge4 at its relaxed geometry, as listed in Alexandria via LeMat-Bulk.

```
8
Lattice="4.2274 0.0000 0.0000 0.0000 6.5039 -0.7598 -2.1137 -2.3201 8.3439" Properties=species:S:1:pos:R:3 pbc="T T T"
Ce 2.1137 0.0000 0.0000
Ge 0.0000 1.9301 5.7480
Nd 2.1137 3.8233 4.5033
Ge 2.1137 2.2537 1.8361
Ge 2.1137 4.7341 1.5466
Ge 0.0000 -0.5503 6.0375
Nd 0.0000 0.3605 3.0808
Nd 0.0000 3.2519 -0.3799
```

Properties
Volume (Å³ per atom): 27.75
Electronic total energy (eV per formula unit): -43.7
Magnetic moment (μB per formula unit): 0.7


(5)
First-principles (PBE) data for crystalline Ce3NdGe2 at its relaxed geometry, as listed in Alexandria via LeMat-Bulk.

```
12
Lattice="4.1611 0.0000 0.0000 -2.0806 10.1416 -0.5772 0.0000 -4.9031 7.5830" Properties=species:S:1:pos:R:3 pbc="T T T"
Ce 2.0806 1.7274 3.4032
Ge 2.0806 -0.7036 1.6557
Ge 2.0806 3.8701 1.3008
Ce 0.0000 6.2177 1.1580
Nd 2.0806 3.5779 6.5874
Ge 0.0000 5.9421 5.3501
Ce 0.0000 -1.0830 3.8312
Ge 0.0000 1.3684 5.7050
Ce 0.0000 3.5111 3.6026
Ce 2.0806 -0.9792 5.8479
Nd 0.0000 1.6606 0.4184
Ce 2.0806 6.3215 3.1746
```

Properties
Volume (Å³ per atom): 25.69
Electronic total energy (eV per formula unit): -34.8
Magnetic moment (μB per formula unit): 1.2


(6)
First-principles (PBE) data for crystalline CeNd2Ge at its relaxed geometry, as listed in Alexandria via LeMat-Bulk.

```
4
Lattice="-3.7831 1.0481 -0.0748 -0.7042 -2.7361 -2.7265 -1.4027 -4.7004 5.0792" Properties=species:S:1:pos:R:3 pbc="T T T"
Ce -2.9450 -3.1942 1.1390
Ge -2.2436 -0.8440 -1.4006
Nd -1.0991 -3.6833 3.9801
Nd -0.3035 -1.0171 1.0991
```

Properties
Volume (Å³ per atom): 27.21
Electronic total energy (eV per formula unit): -21.2
Magnetic moment (μB per formula unit): 0.1